Compound: Ac4TePbN
Source: Alexandria via LeMat-Bulk
Functional: PBE
Structure: relaxed

Lattice parameters (Å, degrees): 7.7640 7.4344 9.2410 90.00 107.02 90.00
Element x y z (fractional)
Ac 0.0085 0.0014 0.2411
Ac 0.0085 0.4986 0.2411
Ac 0.3877 0.7500 0.5745
Ac 0.4017 0.7500 0.1298
Ac 0.5983 0.2500 0.8702
Ac 0.6123 0.2500 0.4255
Ac 0.9915 0.5014 0.7589
Ac 0.9915 0.9986 0.7589
Te 0.2437 0.2500 0.5571
Te 0.7563 0.7500 0.4429
Pb 0.2696 0.2500 0.0653
Pb 0.7304 0.7500 0.9347
N 0.2108 0.7500 0.3114
N 0.7892 0.2500 0.6886

Values from the calculation:
SG: P2_1/m (11)
energy: -5.372 eV per atom

Compound: TlSn2Pb2
Source: Alexandria via LeMat-Bulk
Functional: PBE
Structure: relaxed

Lattice parameters (Å, degrees): 8.9508 8.9508 5.7414 108.52 108.52 120.33
Element x y z (fractional)
Tl 0.1524 0.8476 0.7500
Tl 0.8476 0.1524 0.2500
Sn 0.2631 0.7369 0.2500
Sn 0.3721 0.6279 0.7500
Sn 0.6279 0.3721 0.2500
Sn 0.7369 0.2631 0.7500
Pb 0.1872 0.3053 0.9955
Pb 0.3053 0.1872 0.4955
Pb 0.6947 0.8128 0.5045
Pb 0.8128 0.6947 0.0045

Values from the calculation:
SG: C2/c (15)
polymorph energy (0 for the lowest one): 0 meV per atom
ΔE_f: 0.045 eV per atom

Compound: YNiPb
Source: Alexandria via LeMat-Bulk
Functional: PBE
Structure: relaxed

Lattice parameters (Å, degrees): 4.5803 4.5803 3.6360 90.00 90.00 120.00
Element x y z (fractional)
Y 0.0000 0.0000 0.0000
Ni 0.3333 0.6667 0.5000
Pb 0.6667 0.3333 0.5000

Values from the calculation:
SG: P-6m2 (187)
ΔE_f: -0.369 eV per atom

Compound: NdHgSb2
Source: Alexandria via LeMat-Bulk
Functional: PBE
Structure: relaxed

Lattice parameters (Å, degrees): 4.8361 4.8361 4.6272 90.00 90.00 90.00
Element x y z (fractional)
Nd 0.0000 0.0000 0.0000
Hg 0.5000 0.5000 0.0000
Sb 0.0000 0.5000 0.5000
Sb 0.5000 0.0000 0.5000

Values from the calculation:
SG: P4/mmm (123)
polymorph energy (0 for the lowest one): 28 meV per atom

Compound: La12HoEr7
Source: Alexandria via LeMat-Bulk
Functional: PBE
Structure: relaxed

Lattice parameters (Å, degrees): 11.5011 11.5011 11.5011 116.69 116.69 116.69
Element x y z (fractional)
La 0.0000 0.4083 0.5917
La 0.0000 0.5917 0.4083
La 0.0726 0.0726 0.4268
La 0.0726 0.4268 0.0726
La 0.4083 0.0000 0.5917
La 0.4083 0.5917 0.0000
La 0.4268 0.0726 0.0726
La 0.5732 0.9274 0.9274
La 0.5917 0.0000 0.4083
La 0.5917 0.4083 0.0000
La 0.9274 0.5732 0.9274
La 0.9274 0.9274 0.5732
Ho 0.5000 0.5000 0.5000
Er 0.0000 0.0000 0.0000
Er 0.1393 0.3856 0.3856
Er 0.3856 0.1393 0.3856
Er 0.3856 0.3856 0.1393
Er 0.6144 0.6144 0.8607
Er 0.6144 0.8607 0.6144
Er 0.8607 0.6144 0.6144

Values from the calculation:
SG: R-3m (166)
polymorph energy (0 for the lowest one): 0 meV per atom
ΔE_f: 0.194 eV per atom

Compound: Na4Ag4Au
Source: Alexandria via LeMat-Bulk
Functional: PBE
Structure: relaxed

Lattice parameters (Å, degrees): 9.9140 9.9140 9.9140 150.34 150.34 42.44
Element x y z (fractional)
Na 0.1149 0.6585 0.0000
Na 0.3415 0.3415 0.4564
Na 0.6585 0.1149 0.0000
Na 0.8851 0.8851 0.5436
Ag 0.0789 0.0789 0.5960
Ag 0.4829 0.4829 0.4040
Ag 0.5171 0.9211 0.0000
Ag 0.9211 0.5171 0.0000
Au 0.5000 0.5000 0.0000

Values from the calculation:
SG: I-42m (121)
ΔE_f: 0.018 eV per atom

Compound: Pu2PAu
Source: Alexandria via LeMat-Bulk
Functional: PBE
Structure: relaxed

Lattice parameters (Å, degrees): 3.4996 3.4996 7.1799 90.00 90.00 90.00
Element x y z (fractional)
Pu 0.0000 0.0000 0.2175
Pu 0.0000 0.0000 0.7825
P 0.5000 0.5000 0.0000
Au 0.5000 0.5000 0.5000

Values from the calculation:
SG: P4/mmm (123)
polymorph energy (0 for the lowest one): 0 meV per atom
ΔE_f: -0.718 eV per atom

Compound: PrPaZnOs
Source: Alexandria via LeMat-Bulk
Functional: PBE
Structure: relaxed

Lattice parameters (Å, degrees): 5.0051 5.0051 5.0051 60.00 60.00 60.00
Element x y z (fractional)
Pr 0.0000 0.0000 0.0000
Pa 0.5000 0.5000 0.5000
Zn 0.2500 0.2500 0.2500
Os 0.7500 0.7500 0.7500

Values from the calculation:
SG: F-43m (216)
ΔE_f: -0.009 eV per atom

Number 1: magnetic moment 0.36 μB per formula unit. Number 2: magnetic moment 0.00 μB per formula unit. Number 3: magnetic moment 0.00 μB per formula unit. Number 4: magnetic moment 0.00 μB per formula unit. Number 5: magnetic moment 0.00 μB per formula unit. Number 6: magnetic moment 0.00 μB per formula unit. Number 7: magnetic moment 11.47 μB per formula unit. Number 8: magnetic moment 0.00 μB per formula unit.